# PBE-GGA SmPaTeP, relaxed
data_SmPaTeP
_symmetry_space_group_name_H-M 'P 1'
_symmetry_Int_Tables_number 1
_cell_length_a 4.0649
_cell_length_b 4.0651
_cell_length_c 7.8063
_cell_angle_alpha 90.00
_cell_angle_beta 105.09
_cell_angle_gamma 120.00
loop_
_symmetry_equiv_pos_as_xyz
'x,y,z'
loop_
_atom_site_label
_atom_site_fract_x
_atom_site_fract_y
_atom_site_fract_z
_atom_site_occupancy
Pa1 0.1085 0.9522 0.0760 1
P1 0.3078 0.5519 0.8749 1
Sm1 0.4972 0.1466 0.6591 1
Te1 0.9643 0.3801 0.3596 1
# - DOS(E_F) (states/eV per cell) = 4.94
# - raw formation energy (meV/atom) = -1240.7

# PBE-GGA Sm3Th2PaP6, relaxed
data_Sm3Th2PaP6
_symmetry_space_group_name_H-M 'P 1'
_symmetry_Int_Tables_number 1
_cell_length_a 7.0990
_cell_length_b 7.0990
_cell_length_c 7.0793
_cell_angle_alpha 99.62
_cell_angle_beta 99.62
_cell_angle_gamma 120.01
loop_
_symmetry_equiv_pos_as_xyz
'x,y,z'
loop_
_atom_site_label
_atom_site_fract_x
_atom_site_fract_y
_atom_site_fract_z
_atom_site_occupancy
Sm1 0.1685 0.8315 0.5000 1
P1 0.2418 0.2418 0.7548 1
Pa1 0.0000 0.0000 0.0000 1
Th1 0.3337 0.6663 0.0000 1
P2 0.4058 0.0817 0.2454 1
Th2 0.6663 0.3337 0.0000 1
P3 0.7582 0.7582 0.2452 1
P4 0.9183 0.5942 0.7546 1
P5 0.0817 0.4058 0.2454 1
P6 0.5942 0.9183 0.7546 1
Sm2 0.5000 0.5000 0.5000 1
Sm3 0.8315 0.1685 0.5000 1
# - DOS(E_F) (states/eV per cell) = 7.44
# - formation energy from the elements (eV/f.u.) = -18.37

# PBE-GGA Sm2ThPaP4, relaxed
data_Sm2ThPaP4
_symmetry_space_group_name_H-M 'P 1'
_symmetry_Int_Tables_number 1
_cell_length_a 4.0811
_cell_length_b 7.0693
_cell_length_c 7.0532
_cell_angle_alpha 109.47
_cell_angle_beta 90.00
_cell_angle_gamma 90.00
loop_
_symmetry_equiv_pos_as_xyz
'x,y,z'
loop_
_atom_site_label
_atom_site_fract_x
_atom_site_fract_y
_atom_site_fract_z
_atom_site_occupancy
P1 0.5000 0.7436 0.7549 1
Sm1 0.5000 0.0000 0.5000 1
P2 0.0000 0.2600 0.7584 1
Sm2 0.0000 0.5000 0.5000 1
Th1 0.0000 0.0000 0.0000 1
P3 0.0000 0.7400 0.2416 1
Pa1 0.5000 0.5000 0.0000 1
P4 0.5000 0.2564 0.2451 1
# - DOS(E_F) (states/eV per cell) = 5.42
# - formation energy from the elements (eV/f.u.) = -12.04

# PBE-GGA SmTh2PaP4, relaxed
data_SmTh2PaP4
_symmetry_space_group_name_H-M 'P 1'
_symmetry_Int_Tables_number 1
_cell_length_a 4.0889
_cell_length_b 7.0737
_cell_length_c 7.0784
_cell_angle_alpha 109.48
_cell_angle_beta 90.00
_cell_angle_gamma 90.00
loop_
_symmetry_equiv_pos_as_xyz
'x,y,z'
loop_
_atom_site_label
_atom_site_fract_x
_atom_site_fract_y
_atom_site_fract_z
_atom_site_occupancy
P1 0.0000 0.7416 0.2393 1
P2 0.5000 0.7455 0.7566 1
Th1 0.0000 0.5000 0.5000 1
Sm1 0.0000 0.0000 0.0000 1
P3 0.5000 0.2545 0.2434 1
P4 0.0000 0.2584 0.7607 1
Th2 0.5000 0.0000 0.5000 1
Pa1 0.5000 0.5000 0.0000 1
# - DOS(E_F) (states/eV per cell) = 5.65
# - formation energy from the elements (eV/f.u.) = -11.96

# PBE-GGA SmThPa2P4, relaxed
data_SmThPa2P4
_symmetry_space_group_name_H-M 'P 1'
_symmetry_Int_Tables_number 1
_cell_length_a 4.0455
_cell_length_b 6.9980
_cell_length_c 7.0050
_cell_angle_alpha 70.48
_cell_angle_beta 90.00
_cell_angle_gamma 90.00
loop_
_symmetry_equiv_pos_as_xyz
'x,y,z'
loop_
_atom_site_label
_atom_site_fract_x
_atom_site_fract_y
_atom_site_fract_z
_atom_site_occupancy
Pa1 0.0000 0.0000 0.0000 1
P1 0.0000 0.2372 0.2528 1
P2 0.5000 0.2373 0.7560 1
P3 0.5000 0.7627 0.2440 1
Th1 0.0000 0.5000 0.5000 1
Pa2 0.5000 0.0000 0.5000 1
P4 0.0000 0.7628 0.7472 1
Sm1 0.5000 0.5000 0.0000 1
# - DOS(E_F) (states/eV per cell) = 6.80
# - formation energy from the elements (eV/f.u.) = -11.47

# PBE-GGA Sm3Tm2PaP6, relaxed
data_Sm3Tm2PaP6
_symmetry_space_group_name_H-M 'P 1'
_symmetry_Int_Tables_number 1
_cell_length_a 6.9609
_cell_length_b 6.9609
_cell_length_c 6.9908
_cell_angle_alpha 99.53
_cell_angle_beta 99.53
_cell_angle_gamma 120.01
loop_
_symmetry_equiv_pos_as_xyz
'x,y,z'
loop_
_atom_site_label
_atom_site_fract_x
_atom_site_fract_y
_atom_site_fract_z
_atom_site_occupancy
Sm1 0.1678 0.8322 0.5000 1
P1 0.4092 0.0793 0.2383 1
P2 0.7497 0.7497 0.2376 1
P3 0.2503 0.2503 0.7624 1
Tm1 0.3336 0.6664 0.0000 1
P4 0.0793 0.4092 0.2383 1
Pa1 0.0000 0.0000 0.0000 1
Sm2 0.5000 0.5000 0.5000 1
P5 0.9207 0.5908 0.7617 1
Sm3 0.8322 0.1678 0.5000 1
Tm2 0.6664 0.3336 0.0000 1
P6 0.5908 0.9207 0.7617 1
# - DOS(E_F) (states/eV per cell) = 3.48
# - formation energy from the elements (eV/f.u.) = -18.70

# PBE-GGA SmTmPa2P4, relaxed
data_SmTmPa2P4
_symmetry_space_group_name_H-M 'P 1'
_symmetry_Int_Tables_number 1
_cell_length_a 3.9930
_cell_length_b 6.9093
_cell_length_c 6.9166
_cell_angle_alpha 70.51
_cell_angle_beta 90.00
_cell_angle_gamma 90.00
loop_
_symmetry_equiv_pos_as_xyz
'x,y,z'
loop_
_atom_site_label
_atom_site_fract_x
_atom_site_fract_y
_atom_site_fract_z
_atom_site_occupancy
P1 0.0000 0.2426 0.2571 1
Tm1 0.0000 0.5000 0.5000 1
Sm1 0.5000 0.5000 0.0000 1
Pa1 0.5000 0.0000 0.5000 1
P2 0.5000 0.7538 0.2532 1
P3 0.0000 0.7574 0.7429 1
Pa2 0.0000 0.0000 0.0000 1
P4 0.5000 0.2462 0.7468 1
# - DOS(E_F) (states/eV per cell) = 6.72
# - formation energy from the elements (eV/f.u.) = -11.51

# PBE-GGA SmU2PaP4, relaxed
data_SmU2PaP4
_symmetry_space_group_name_H-M 'P 1'
_symmetry_Int_Tables_number 1
_cell_length_a 3.9548
_cell_length_b 6.9686
_cell_length_c 6.8645
_cell_angle_alpha 70.87
_cell_angle_beta 90.00
_cell_angle_gamma 90.00
loop_
_symmetry_equiv_pos_as_xyz
'x,y,z'
loop_
_atom_site_label
_atom_site_fract_x
_atom_site_fract_y
_atom_site_fract_z
_atom_site_occupancy
P1 0.0000 0.2415 0.2581 1
P2 0.5000 0.7540 0.2527 1
U1 0.0000 0.0000 0.0000 1
Pa1 0.0000 0.5000 0.5000 1
Sm1 0.5000 0.5000 0.0000 1
P3 0.0000 0.7585 0.7419 1
P4 0.5000 0.2460 0.7473 1
U2 0.5000 0.0000 0.5000 1
# - DOS(E_F) (states/eV per cell) = 13.23
# - formation energy from the elements (eV/f.u.) = -9.56

# PBE-GGA Sm3UPa2P6, relaxed
data_Sm3UPa2P6
_symmetry_space_group_name_H-M 'P 1'
_symmetry_Int_Tables_number 1
_cell_length_a 4.0161
_cell_length_b 8.0761
_cell_length_c 9.0162
_cell_angle_alpha 103.35
_cell_angle_beta 102.87
_cell_angle_gamma 90.00
loop_
_symmetry_equiv_pos_as_xyz
'x,y,z'
loop_
_atom_site_label
_atom_site_fract_x
_atom_site_fract_y
_atom_site_fract_z
_atom_site_occupancy
Pa1 0.8346 0.6691 0.6693 1
Pa2 0.1654 0.3309 0.3307 1
Sm1 0.5000 0.5000 0.0000 1
P1 0.3365 0.9111 0.6729 1
Sm2 0.8327 0.1670 0.6654 1
P2 0.9980 0.7577 0.9959 1
P3 0.3302 0.4241 0.6603 1
P4 0.0020 0.2423 0.0041 1
P5 0.6635 0.0889 0.3271 1
P6 0.6698 0.5759 0.3397 1
U1 0.5000 0.0000 0.0000 1
Sm3 0.1673 0.8330 0.3346 1
# - DOS(E_F) (states/eV per cell) = 12.94
# - formation energy from the elements (eV/f.u.) = -16.61

# PBE-GGA SmUPa2P4, relaxed
data_SmUPa2P4
_symmetry_space_group_name_H-M 'P 1'
_symmetry_Int_Tables_number 1
_cell_length_a 3.9816
_cell_length_b 6.9057
_cell_length_c 6.9295
_cell_angle_alpha 70.64
_cell_angle_beta 90.00
_cell_angle_gamma 90.00
loop_
_symmetry_equiv_pos_as_xyz
'x,y,z'
loop_
_atom_site_label
_atom_site_fract_x
_atom_site_fract_y
_atom_site_fract_z
_atom_site_occupancy
P1 0.0000 0.2441 0.2568 1
P2 0.0000 0.7559 0.7432 1
U1 0.0000 0.5000 0.5000 1
Pa1 0.0000 0.0000 0.0000 1
Sm1 0.5000 0.5000 0.0000 1
P3 0.5000 0.7514 0.2535 1
Pa2 0.5000 0.0000 0.5000 1
P4 0.5000 0.2486 0.7465 1
# - DOS(E_F) (states/eV per cell) = 11.77
# - formation energy from the elements (eV/f.u.) = -10.26

# PBE-GGA SmYPa2P4, relaxed
data_SmYPa2P4
_symmetry_space_group_name_H-M 'P 1'
_symmetry_Int_Tables_number 1
_cell_length_a 4.0078
_cell_length_b 6.9419
_cell_length_c 6.9413
_cell_angle_alpha 70.53
_cell_angle_beta 90.00
_cell_angle_gamma 90.00
loop_
_symmetry_equiv_pos_as_xyz
'x,y,z'
loop_
_atom_site_label
_atom_site_fract_x
_atom_site_fract_y
_atom_site_fract_z
_atom_site_occupancy
P1 0.5000 0.7576 0.2499 1
Sm1 0.5000 0.5000 0.0000 1
P2 0.0000 0.7595 0.7442 1
Pa1 0.5000 0.0000 0.5000 1
P3 0.5000 0.2424 0.7501 1
Pa2 0.0000 0.0000 0.0000 1
Y1 0.0000 0.5000 0.5000 1
P4 0.0000 0.2405 0.2558 1
# - DOS(E_F) (states/eV per cell) = 6.72
# - formation energy from the elements (eV/f.u.) = -11.61

# PBE-GGA SmY2PaP4, relaxed
data_SmY2PaP4
_symmetry_space_group_name_H-M 'P 1'
_symmetry_Int_Tables_number 1
_cell_length_a 4.0256
_cell_length_b 6.9687
_cell_length_c 6.9388
_cell_angle_alpha 109.48
_cell_angle_beta 90.00
_cell_angle_gamma 90.00
loop_
_symmetry_equiv_pos_as_xyz
'x,y,z'
loop_
_atom_site_label
_atom_site_fract_x
_atom_site_fract_y
_atom_site_fract_z
_atom_site_occupancy
P1 0.5000 0.7420 0.7502 1
P2 0.0000 0.2565 0.7526 1
P3 0.0000 0.7435 0.2474 1
Y1 0.5000 0.0000 0.5000 1
Sm1 0.0000 0.0000 0.0000 1
P4 0.5000 0.2580 0.2498 1
Pa1 0.5000 0.5000 0.0000 1
Y2 0.0000 0.5000 0.5000 1
# - DOS(E_F) (states/eV per cell) = 4.88
# - formation energy from the elements (eV/f.u.) = -12.32